1.
A crystal of Zr2AlTl relaxed with PBEsol, computed with meta-GGA SCAN.

Output
As for the crystal system: monoclinic. The formation energy is -0.163 eV/atom.

a = 10.2344 Å, b = 3.3441 Å, c = 5.1781 Å
α = 90.00°, β = 107.92°, γ = 90.00°
Closest atoms and distances in Å follow each position.
Atoms (fractional coordinates):
Zr1 0.2444 0.0000 0.2429  3 Al 2.95-3.23, 3 Tl 3.04-3.17, 4 Zr 3.05-3.12
Zr2 0.2556 0.5000 0.7571  3 Al 2.95-3.23, 3 Tl 3.04-3.17, 4 Zr 3.05-3.12
Zr3 0.7444 0.5000 0.2429  3 Al 2.95-3.23, 3 Tl 3.04-3.17, 4 Zr 3.05-3.12
Zr4 0.7556 0.0000 0.7571  3 Al 2.95-3.23, 3 Tl 3.04-3.17, 4 Zr 3.05-3.12
Al1 0.0000 0.5000 0.0000  6 Zr 2.95-3.23, 4 Tl 3.08
Al2 0.5000 0.0000 0.0000  6 Zr 2.95-3.23, 4 Tl 3.08
Tl1 0.0000 0.0000 0.5000  6 Zr 3.04-3.17, 4 Al 3.08, 2 Tl 3.34
Tl2 0.5000 0.5000 0.5000  6 Zr 3.04-3.17, 4 Al 3.08, 2 Tl 3.34

---

2.
A crystal of ZrAl2Tl relaxed with PBEsol, computed with meta-GGA SCAN.

Output
As for the crystal system: tetragonal. Its energy relative to the lowest polymorph listed for this composition is 80.4 meV per atom. The formation energy is -0.041 eV/atom.

a = 3.0348 Å, b = 3.0348 Å, c = 9.0303 Å
α = 90.00°, β = 90.00°, γ = 90.00°
Closest atoms and distances in Å follow each position.
Atoms (fractional coordinates):
Zr1 0.0000 0.0000 0.0000  8 Al 2.93, 4 Zr 3.03
Al1 0.5000 0.5000 0.2213  4 Zr 2.93, 4 Al 3.03
Al2 0.5000 0.5000 0.7787  4 Zr 2.93, 4 Al 3.03
Tl1 0.0000 0.0000 0.5000  4 Tl 3.03, 8 Al 3.31

---

3.
A crystal of Tm3Al2 relaxed with PBEsol, computed with meta-GGA SCAN.

Output
As for the crystal system: tetragonal. The formation energy is -0.345 eV/atom.

a = 8.0216 Å, b = 8.0216 Å, c = 7.4047 Å
α = 90.00°, β = 90.00°, γ = 90.00°
Closest atoms and distances in Å follow each position.
Atoms (fractional coordinates):
Tm1 0.0000 0.5000 0.2500  4 Al 3.22, 8 Tm 3.43-3.58
Tm2 0.0000 0.5000 0.7500  4 Al 3.22, 8 Tm 3.43-3.58
Tm3 0.1490 0.1490 0.0000  6 Al 2.99-3.13
Tm4 0.2021 0.2021 0.5000  6 Al 3.02-3.04
Tm5 0.2979 0.7021 0.0000  6 Al 3.02-3.04
Tm6 0.3510 0.6490 0.5000  6 Al 2.99-3.13
Tm7 0.5000 0.0000 0.2500  4 Al 3.22, 8 Tm 3.43-3.58
Tm8 0.5000 0.0000 0.7500  4 Al 3.22, 8 Tm 3.43-3.58
Tm9 0.6490 0.3510 0.5000  6 Al 2.99-3.13
Tm10 0.7021 0.2979 0.0000  6 Al 3.02-3.04
Tm11 0.7979 0.7979 0.5000  6 Al 3.02-3.04
Tm12 0.8510 0.8510 0.0000  6 Al 2.99-3.13
Al1 0.1203 0.8797 0.3044  2 Al 2.73-2.90, 4 Tm 2.99-3.04
Al2 0.1203 0.8797 0.6956  2 Al 2.73-2.90, 4 Tm 2.99-3.04
Al3 0.3797 0.3797 0.1956  2 Al 2.73-2.90, 4 Tm 2.99-3.04
Al4 0.3797 0.3797 0.8044  2 Al 2.73-2.90, 4 Tm 2.99-3.04
Al5 0.6203 0.6203 0.1956  2 Al 2.73-2.90, 4 Tm 2.99-3.04
Al6 0.6203 0.6203 0.8044  2 Al 2.73-2.90, 4 Tm 2.99-3.04
Al7 0.8797 0.1203 0.3044  2 Al 2.73-2.90, 4 Tm 2.99-3.04
Al8 0.8797 0.1203 0.6956  2 Al 2.73-2.90, 4 Tm 2.99-3.04

---

Number 1: ρ 8.2 g/cm3. Number 2: ρ 7.0 g/cm3. Number 3: ρ 7.8 g/cm3.